CsMn2AgO | PBE with a Hubbard U | optimized geometry

Unit cell a=4.552 b=4.552 c=5.909 alpha=90.00 beta=90.00 gamma=90.00
Atoms (fractional coordinates):
Cs1 0.000 0.000 0.000
Mn1 0.000 0.500 0.500
Mn2 0.500 0.000 0.500
Ag1 0.500 0.500 0.000
O1 0.000 0.000 0.500

Calculated values
Total moment: 9.65 μB per cell
SG: P4/mmm (123)
Final energy: -23.540 eV per formula unit